Here is a relaxed structure of CuAs from Alexandria. Energies are from PBE.

Energy relative to the elements   0.261 eV/atom
Total magnetization   0.0 μB per formula unit

The structure in CIF format:
```
data_CuAs
_chemical_formula_sum 'Cu4 As4'
_cell_length_a 6.9229
_cell_length_b 6.9229
_cell_length_c 3.4198
_cell_angle_alpha 90.00
_cell_angle_beta 90.00
_cell_angle_gamma 90.00
_symmetry_space_group_name_H-M 'P 42/m n m'
_symmetry_Int_Tables_number 136
_symmetry_space_group_name_Hall '-P 4n 2n'
loop_
_atom_site_label
_atom_site_fract_x
_atom_site_fract_y
_atom_site_fract_z
Cu1 0.1295 0.1295 0.0000
As1 0.2073 0.7927 0.0000
```